1.
! ReTeBr2, single point on PBEsol structure, DFT SCAN; values from VASP
&SYSTEM
  ibrav = 0, nat = 4, ntyp = 3
/
ATOMIC_SPECIES
Re 186.21 Re.upf
Te 127.60 Te.upf
Br 79.90 Br.upf
CELL_PARAMETERS angstrom
3.148 0.000 0.000
0.000 4.817 0.000
0.000 0.000 5.497
ATOMIC_POSITIONS angstrom
Re 0.000 0.000 0.000
Te 1.574 0.000 2.748
Br 0.000 2.409 2.748
Br 1.574 2.409 0.000
! symmetry: No. 47
! formation energy without anion corrections: 1.19 eV per atom
! energy above the most stable polymorph in this dataset: 343.6 meV/atom

---

2.
! BeRe5, single point on PBEsol structure, DFT SCAN; values from VASP
&SYSTEM
  ibrav = 0, nat = 6, ntyp = 2
/
ATOMIC_SPECIES
Be 9.01 Be.upf
Re 186.21 Re.upf
CELL_PARAMETERS angstrom
2.121 -4.620 0.000
2.121 4.620 0.000
0.000 0.000 4.236
ATOMIC_POSITIONS angstrom
Be 0.000 0.000 0.000
Re 2.121 3.132 2.118
Re 2.121 1.512 0.000
Re 2.121 0.000 2.118
Re 2.121 -1.512 0.000
Re 2.121 -3.132 2.118
! calculated formation energy: 0.001 eV per atom
! symmetry: No. 65